10
Lattice="5.818 0.000 0.000 0.000 5.818 0.000 0.000 0.000 5.017" Properties=species:S:1:pos:R:3 comment="Ca2TlReO6, relaxed, DFT PBE" rho_g_cm3=5.54 formation_energy_uncorrected_ev_per_atom=-1.842 space_group=P4mm pbc="T T T"
Ca 0.000 2.909 0.000
Ca 2.909 0.000 0.000
Tl 0.000 0.000 2.923
Re 2.909 2.909 3.269
O 0.000 0.000 0.683
O 1.646 1.646 3.913
O 1.646 4.172 3.913
O 2.909 2.909 1.499
O 4.172 1.646 3.913
O 4.172 4.172 3.913